# Ti2V2Hg (PBE-GGA, relaxed)
data_Ti2V2Hg
_cell_length_a 5.0312
_cell_length_b 5.7400
_cell_length_c 9.1894
_cell_angle_alpha 51.46
_cell_angle_beta 122.67
_cell_angle_gamma 124.82
_symmetry_space_group_name_H-M 'P 1'
_symmetry_Int_Tables_number 1
loop_
_symmetry_equiv_pos_as_xyz
'x,y,z'
loop_
_atom_site_label
_atom_site_type_symbol
_atom_site_fract_x
_atom_site_fract_y
_atom_site_fract_z
Ti1 Ti 0.3861 0.4164 0.7710
Ti2 Ti 0.6141 0.0838 0.2290
Ti3 Ti 0.3859 0.9162 0.7710
Hg1 Hg 0.0000 0.7500 0.0000
Ti4 Ti 0.6139 0.5836 0.2290
V1 V 0.7874 0.5050 0.5742
V2 V 0.2126 0.9949 0.4259
V3 V 0.7874 0.0051 0.5741
Hg2 Hg 0.0000 0.2500 0.0000
V4 V 0.2126 0.4950 0.4258
# * total magnetization: 0.0 μB per formula unit
# * space-group type: C2/m, No. 12
# * energy of formation from the pure elements: 38 meV/atom
# * energy above the most stable polymorph in this dataset: 0.000 eV per atom
# * total energy: -34.1 eV per formula unit

# PmYTlZn (PBE-GGA, relaxed)
data_PmYTlZn
_cell_length_a 5.3006
_cell_length_b 5.3006
_cell_length_c 5.3006
_cell_angle_alpha 60.00
_cell_angle_beta 60.00
_cell_angle_gamma 60.00
_symmetry_space_group_name_H-M 'P 1'
_symmetry_Int_Tables_number 1
loop_
_symmetry_equiv_pos_as_xyz
'x,y,z'
loop_
_atom_site_label
_atom_site_type_symbol
_atom_site_fract_x
_atom_site_fract_y
_atom_site_fract_z
Y1 Y 0.7500 0.7500 0.7500
Zn1 Zn 0.0000 0.0000 0.0000
Pm1 Pm 0.2500 0.2500 0.2500
Tl1 Tl 0.5000 0.5000 0.5000
# * total magnetization: 0.0 μB per formula unit
# * space-group type: F-43m, No. 216
# * energy of formation from the pure elements: -346 meV/atom
# * energy above the most stable polymorph in this dataset: 0.022 eV per atom
# * total energy: -16.2 eV per formula unit

# K2LiOsAu (PBE-GGA, relaxed)
data_K2LiOsAu
_cell_length_a 6.1652
_cell_length_b 4.8416
_cell_length_c 6.1652
_cell_angle_alpha 90.00
_cell_angle_beta 90.00
_cell_angle_gamma 90.00
_symmetry_space_group_name_H-M 'P 1'
_symmetry_Int_Tables_number 1
loop_
_symmetry_equiv_pos_as_xyz
'x,y,z'
loop_
_atom_site_label
_atom_site_type_symbol
_atom_site_fract_x
_atom_site_fract_y
_atom_site_fract_z
K1 K 0.0000 0.0000 0.5000
Au1 Au 0.5000 0.5000 0.5000
Li1 Li 0.0000 0.5000 0.0000
Os1 Os 0.0000 0.0000 0.0000
K2 K 0.5000 0.0000 0.0000
# * total magnetization: 2.0 μB per formula unit
# * space-group type: P4/mmm, No. 123
# * energy of formation from the pure elements: 1078 meV/atom
# * total energy: -13.2 eV per formula unit

# K12Rb16Cd (PBE-GGA, relaxed)
data_K12Rb16Cd
_cell_length_a 14.2915
_cell_length_b 14.2915
_cell_length_c 14.4896
_cell_angle_alpha 70.90
_cell_angle_beta 70.90
_cell_angle_gamma 108.06
_symmetry_space_group_name_H-M 'P 1'
_symmetry_Int_Tables_number 1
loop_
_symmetry_equiv_pos_as_xyz
'x,y,z'
loop_
_atom_site_label
_atom_site_type_symbol
_atom_site_fract_x
_atom_site_fract_y
_atom_site_fract_z
Rb1 Rb 0.4371 0.6567 0.9581
Rb2 Rb 0.4182 0.4182 0.6747
Rb3 Rb 0.3069 0.3069 0.2901
K1 K 0.7844 0.1891 0.1814
K2 K 0.1560 0.3453 0.0295
K3 K 0.1886 0.9999 0.6391
Rb4 Rb 0.9968 0.9968 0.0026
K4 K 0.3727 0.9935 0.8194
Rb5 Rb 0.2867 0.5771 0.4138
Rb6 Rb 0.9862 0.3947 0.3273
Rb7 Rb 0.5771 0.2867 0.4138
Rb8 Rb 0.6567 0.4371 0.9581
Rb9 Rb 0.6297 0.9876 0.0007
Rb10 Rb 0.9968 0.6809 0.5883
K5 K 0.6429 0.6429 0.1697
Rb11 Rb 0.3163 0.7139 0.6895
K6 K 0.8163 0.6339 0.3837
Cd1 Cd 0.6829 0.6829 0.6433
K7 K 0.9935 0.3727 0.8194
Rb12 Rb 0.9901 0.9901 0.3682
K8 K 0.1891 0.7844 0.1814
K9 K 0.8189 0.8189 0.7897
Rb13 Rb 0.6809 0.9968 0.5883
Rb14 Rb 0.3947 0.9862 0.3273
Rb15 Rb 0.9876 0.6297 0.0007
K10 K 0.9999 0.1886 0.6391
Rb16 Rb 0.7139 0.3163 0.6895
K11 K 0.3453 0.1560 0.0295
K12 K 0.6339 0.8163 0.3837
# * total magnetization: 0.0 μB per formula unit
# * space-group type: Cm, No. 8
# * energy of formation from the pure elements: 18 meV/atom
# * total energy: -29.1 eV per formula unit

# Th2GeN (PBE-GGA, relaxed)
data_Th2GeN
_cell_length_a 3.9187
_cell_length_b 3.9187
_cell_length_c 7.0868
_cell_angle_alpha 73.95
_cell_angle_beta 73.95
_cell_angle_gamma 60.00
_symmetry_space_group_name_H-M 'P 1'
_symmetry_Int_Tables_number 1
loop_
_symmetry_equiv_pos_as_xyz
'x,y,z'
loop_
_atom_site_label
_atom_site_type_symbol
_atom_site_fract_x
_atom_site_fract_y
_atom_site_fract_z
Th1 Th 0.2360 0.2360 0.2920
N1 N 0.5000 0.5000 0.5000
Th2 Th 0.7640 0.7640 0.7080
Ge1 Ge 0.0000 0.0000 0.0000
# * total magnetization: 0.0 μB per formula unit
# * energy relative to the elements, uncorrected: -0.97 eV/atom
# * space-group type: R-3m, No. 166
# * total energy: -31.7 eV per formula unit

# ScZnTc (PBE-GGA, relaxed)
data_ScZnTc
_cell_length_a 4.9742
_cell_length_b 4.4578
_cell_length_c 5.1235
_cell_angle_alpha 90.00
_cell_angle_beta 115.27
_cell_angle_gamma 90.00
_symmetry_space_group_name_H-M 'P 1'
_symmetry_Int_Tables_number 1
loop_
_symmetry_equiv_pos_as_xyz
'x,y,z'
loop_
_atom_site_label
_atom_site_type_symbol
_atom_site_fract_x
_atom_site_fract_y
_atom_site_fract_z
Zn1 Zn 0.6501 0.7500 0.9824
Tc1 Tc 0.4346 0.7500 0.3815
Sc1 Sc 0.0378 0.7500 0.7203
Sc2 Sc 0.9622 0.2500 0.2797
Tc2 Tc 0.5654 0.2500 0.6185
Zn2 Zn 0.3499 0.2500 0.0176
# * total magnetization: 0.0 μB per formula unit
# * space-group type: P2_1/m, No. 11
# * energy of formation from the pure elements: -180 meV/atom
# * energy above the most stable polymorph in this dataset: 0.137 eV per atom
# * total energy: -18.5 eV per formula unit

# NaCo (PBE-GGA, relaxed)
data_NaCo
_cell_length_a 6.8054
_cell_length_b 6.8054
_cell_length_c 6.8054
_cell_angle_alpha 90.00
_cell_angle_beta 90.00
_cell_angle_gamma 90.00
_symmetry_space_group_name_H-M 'P 1'
_symmetry_Int_Tables_number 1
loop_
_symmetry_equiv_pos_as_xyz
'x,y,z'
loop_
_atom_site_label
_atom_site_type_symbol
_atom_site_fract_x
_atom_site_fract_y
_atom_site_fract_z
Co1 Co 0.5000 0.0000 0.5000
Na1 Na 0.2500 0.2500 0.2500
Co2 Co 0.0000 0.5000 0.5000
Na2 Na 0.2500 0.7500 0.7500
Na3 Na 0.7500 0.7500 0.2500
Co3 Co 0.5000 0.5000 0.0000
Co4 Co 0.0000 0.0000 0.0000
Na4 Na 0.7500 0.2500 0.7500
# * total magnetization: 2.0 μB per formula unit
# * space-group type: F-43m, No. 216
# * energy of formation from the pure elements: 1784 meV/atom
# * total energy: -4.9 eV per formula unit

# Nd2Zn3Ga4Au (PBE-GGA, relaxed)
data_Nd2Zn3Ga4Au
_cell_length_a 4.2921
_cell_length_b 4.2921
_cell_length_c 10.6565
_cell_angle_alpha 90.00
_cell_angle_beta 90.00
_cell_angle_gamma 90.00
_symmetry_space_group_name_H-M 'P 1'
_symmetry_Int_Tables_number 1
loop_
_symmetry_equiv_pos_as_xyz
'x,y,z'
loop_
_atom_site_label
_atom_site_type_symbol
_atom_site_fract_x
_atom_site_fract_y
_atom_site_fract_z
Au1 Au 0.5000 0.5000 0.5000
Ga1 Ga 0.0000 0.5000 0.3627
Ga2 Ga 0.5000 0.0000 0.6373
Zn1 Zn 0.0000 0.0000 0.5000
Nd1 Nd 0.0000 0.5000 0.7524
Nd2 Nd 0.5000 0.0000 0.2476
Zn2 Zn 0.5000 0.0000 0.8665
Ga3 Ga 0.0000 0.0000 0.0000
Zn3 Zn 0.0000 0.5000 0.1335
Ga4 Ga 0.5000 0.5000 0.0000
# * total magnetization: 0.0 μB per formula unit
# * space-group type: P-4m2, No. 115
# * energy of formation from the pure elements: -517 meV/atom
# * total energy: -33.9 eV per formula unit